{"formula": "KBiPdSe3", "functional": "PBE", "state": "optimized geometry", "mass_density_g_cm3": 5.41, "dft_energy_ha_per_atom": -0.1463, "cell": [[-7.809, -2.048, 4.073], [2.053, -0.570, 3.648], [1.135, 9.807, 0.894]], "species": ["Se", "Se", "Se", "Se", "Se", "Se", "K", "K", "Bi", "Bi", "Pd", "Pd"], "frac_coords": [[0.909, 0.250, 0.633], [0.544, 0.750, 0.339], [0.816, 0.750, 0.985], [0.184, 0.250, 0.015], [0.456, 0.250, 0.661], [0.091, 0.750, 0.367], [0.209, 0.750, 0.743], [0.791, 0.250, 0.257], [0.682, 0.750, 0.630], [0.318, 0.250, 0.370], [0.099, 0.750, 0.105], [0.901, 0.250, 0.895]]}